The following is a GGA-PBE calculation of a relaxed structure of BaCaNi, from the Alexandria database.

E above lowest polymorph (eV per atom): 0.008
Formation energy (eV/atom): -0.06
Magnetization (μB per formula unit): 0.00

Lattice parameters (Å, degrees): 4.197 6.208 8.471 80.50 75.87 89.99
Space group P-1 (No. 2)
Inequivalent atoms, fractional coordinates:
Ba 0.093 0.293 0.320 x2
Ca 0.321 0.180 0.856 x2
Ni 0.262 0.603 0.977 x2